No. 1
VASP calculation (PBE-GGA) on crystalline Y2S2F at its relaxed geometry.

Results
For the uncorrected formation energy, the calculation gives -82.8 kJ per mole of atoms. The density of states at the Fermi level is 5.21 states/eV per cell. As for the total energy: -5.4694 eV/atom.

The structure in CIF format:
```
data_Y2S2F
_symmetry_space_group_name_H-M 'P 4/m m m'
_symmetry_Int_Tables_number 123
_symmetry_space_group_name_Hall '-P 4 2'
_cell_length_a 3.718
_cell_length_b 3.718
_cell_length_c 11.261
_cell_angle_alpha 90.00
_cell_angle_beta 90.00
_cell_angle_gamma 90.00
loop_
_atom_site_label
_atom_site_type_symbol
_atom_site_fract_x
_atom_site_fract_y
_atom_site_fract_z
_atom_site_occupancy
Y1 Y 0.000 0.000 0.194 1
S1 S 0.000 0.000 0.413 1
F1 F 0.000 0.000 0.000 1
```

No. 2
VASP calculation (PBE-GGA) on crystalline YS6F2 at its relaxed geometry.

Results
For the uncorrected formation energy, the calculation gives -112.3 kJ per mole of atoms. The density of states at the Fermi level is 2.19 states/eV per cell. As for the total energy: -5.0498 eV/atom.

The structure in CIF format:
```
data_YS6F2
_symmetry_space_group_name_H-M 'P -1'
_symmetry_Int_Tables_number 2
_cell_length_a 3.551
_cell_length_b 8.101
_cell_length_c 8.778
_cell_angle_alpha 64.46
_cell_angle_beta 80.05
_cell_angle_gamma 87.73
loop_
_symmetry_equiv_pos_as_xyz
'x,y,z'
'-x,-y,-z'
loop_
_atom_site_label
_atom_site_type_symbol
_atom_site_fract_x
_atom_site_fract_y
_atom_site_fract_z
_atom_site_occupancy
Y1 Y 0.000 0.000 0.000 1
S1 S 0.072 0.712 0.760 1
S2 S 0.159 0.983 0.680 1
S3 S 0.175 0.640 0.574 1
F1 F 0.483 0.819 0.080 1
```

No. 3
VASP calculation (PBE-GGA) on crystalline YSF at its relaxed geometry.

Results
For the uncorrected formation energy, the calculation gives -288.7 kJ per mole of atoms. As for the total energy: -7.1460 eV/atom.

The structure in CIF format:
```
data_YSF
_symmetry_space_group_name_H-M 'P 4/n m m'
_symmetry_Int_Tables_number 129
_cell_length_a 3.795
_cell_length_b 3.795
_cell_length_c 6.882
_cell_angle_alpha 90.00
_cell_angle_beta 90.00
_cell_angle_gamma 90.00
loop_
_symmetry_equiv_pos_as_xyz
'x,y,z'
'-x,-y,-z'
'-y+1/2,x,z'
'y+1/2,-x,-z'
'-x+1/2,-y+1/2,z'
'x+1/2,y+1/2,-z'
'y,-x+1/2,z'
'-y,x+1/2,-z'
'x+1/2,-y,-z'
'-x+1/2,y,z'
'-y,-x,-z'
'y,x,z'
'-x,y+1/2,-z'
'x,-y+1/2,z'
'y+1/2,x+1/2,-z'
'-y+1/2,-x+1/2,z'
loop_
_atom_site_label
_atom_site_type_symbol
_atom_site_fract_x
_atom_site_fract_y
_atom_site_fract_z
_atom_site_occupancy
Y1 Y 0.250 0.250 0.229 1
S1 S 0.250 0.250 0.643 1
F1 F 0.250 0.750 0.000 1
```

No. 4
VASP calculation (PBE-GGA) on crystalline YSF at its relaxed geometry.

Results
For the uncorrected formation energy, the calculation gives -282.3 kJ per mole of atoms. The density of states at the Fermi level is 0.00 states/eV per cell. As for the total energy: -7.0801 eV/atom.

The structure in CIF format:
```
data_YSF
_symmetry_space_group_name_H-M 'P -6 m 2'
_symmetry_Int_Tables_number 187
_symmetry_space_group_name_Hall 'P -6 2'
_cell_length_a 3.9371
_cell_length_b 3.9371
_cell_length_c 3.8387
_cell_angle_alpha 90.00
_cell_angle_beta 90.00
_cell_angle_gamma 120.00
loop_
_atom_site_label
_atom_site_type_symbol
_atom_site_fract_x
_atom_site_fract_y
_atom_site_fract_z
_atom_site_occupancy
Y1 Y 0.0000 0.0000 0.0000 1
S1 S 0.6667 0.3333 0.5000 1
F1 F 0.3333 0.6667 0.0000 1
```

No. 5
VASP calculation (PBE-GGA) on crystalline YSF3 at its relaxed geometry.

Results
For the uncorrected formation energy, the calculation gives -98.1 kJ per mole of atoms. The density of states at the Fermi level is 3.49 states/eV per cell. The calculation puts the offset from the most stable computed form at 1608 meV/atom. As for the total energy: -4.2577 eV/atom.

The structure in CIF format:
```
data_YSF3
_symmetry_space_group_name_H-M 'P m -3 m'
_symmetry_Int_Tables_number 221
_symmetry_space_group_name_Hall '-P 4 2 3'
_cell_length_a 4.405
_cell_length_b 4.405
_cell_length_c 4.405
_cell_angle_alpha 90.00
_cell_angle_beta 90.00
_cell_angle_gamma 90.00
loop_
_atom_site_label
_atom_site_type_symbol
_atom_site_fract_x
_atom_site_fract_y
_atom_site_fract_z
_atom_site_occupancy
Y1 Y 0.000 0.000 0.000 1
S1 S 0.500 0.500 0.500 1
F1 F 0.000 0.500 0.500 1
```

No. 6
VASP calculation (PBE-GGA) on crystalline YbSF at its relaxed geometry.

Results
For the uncorrected formation energy, the calculation gives -233.8 kJ per mole of atoms. The density of states at the Fermi level is 38.77 states/eV per cell. As for the total energy: -4.9312 eV/atom.

The structure in CIF format:
```
data_YbSF
_symmetry_space_group_name_H-M 'P 63/m m c'
_symmetry_Int_Tables_number 194
_symmetry_space_group_name_Hall '-P 6c 2c'
_cell_length_a 4.0790
_cell_length_b 4.0790
_cell_length_c 16.8613
_cell_angle_alpha 90.00
_cell_angle_beta 90.00
_cell_angle_gamma 120.00
loop_
_atom_site_label
_atom_site_type_symbol
_atom_site_fract_x
_atom_site_fract_y
_atom_site_fract_z
_atom_site_occupancy
Yb1 Yb 0.0000 0.0000 0.0000 1
Yb2 Yb 0.3333 0.6667 0.2500 1
S1 S 0.3333 0.6667 0.0822 1
F1 F 0.0000 0.0000 0.2500 1
F2 F 0.3333 0.6667 0.7500 1
```

No. 7
VASP calculation (PBE-GGA) on crystalline ZnSF3 at its relaxed geometry.

Results
For the uncorrected formation energy, the calculation gives -47.6 kJ per mole of atoms. The density of states at the Fermi level is 2.24 states/eV per cell. The calculation puts the offset from the most stable computed form at 598 meV/atom. As for the total energy: -2.6964 eV/atom.

The structure in CIF format:
```
data_ZnSF3
_symmetry_space_group_name_H-M 'P m -3 m'
_symmetry_Int_Tables_number 221
_symmetry_space_group_name_Hall '-P 4 2 3'
_cell_length_a 4.249
_cell_length_b 4.249
_cell_length_c 4.249
_cell_angle_alpha 90.00
_cell_angle_beta 90.00
_cell_angle_gamma 90.00
loop_
_atom_site_label
_atom_site_type_symbol
_atom_site_fract_x
_atom_site_fract_y
_atom_site_fract_z
_atom_site_occupancy
Zn1 Zn 0.000 0.000 0.000 1
S1 S 0.500 0.500 0.500 1
F1 F 0.000 0.500 0.500 1
```

No. 8
VASP calculation (PBE-GGA) on crystalline ZnSF2 at its relaxed geometry.

Results
For the uncorrected formation energy, the calculation gives -37.3 kJ per mole of atoms. The density of states at the Fermi level is 3.30 states/eV per cell. The calculation puts the offset from the most stable computed form at 844 meV/atom. As for the total energy: -2.6725 eV/atom.

The structure in CIF format:
```
data_ZnSF2
_symmetry_space_group_name_H-M 'F m -3 m'
_symmetry_Int_Tables_number 225
_symmetry_space_group_name_Hall '-F 4 2 3'
_cell_length_a 5.962
_cell_length_b 5.962
_cell_length_c 5.962
_cell_angle_alpha 90.00
_cell_angle_beta 90.00
_cell_angle_gamma 90.00
loop_
_atom_site_label
_atom_site_type_symbol
_atom_site_fract_x
_atom_site_fract_y
_atom_site_fract_z
_atom_site_occupancy
Zn1 Zn 0.000 0.000 0.000 1
S1 S 0.000 0.000 0.500 1
F1 F 0.250 0.250 0.250 1
```

No. 9
VASP calculation (PBE-GGA) on crystalline ZnS3F at its relaxed geometry.

Results
For the uncorrected formation energy, the calculation gives 77.6 kJ per mole of atoms. The density of states at the Fermi level is 4.06 states/eV per cell. The calculation puts the offset from the most stable computed form at 140 meV/atom. As for the total energy: -2.3013 eV/atom.

The structure in CIF format:
```
data_ZnS3F
_symmetry_space_group_name_H-M 'P m -3 m'
_symmetry_Int_Tables_number 221
_symmetry_space_group_name_Hall '-P 4 2 3'
_cell_length_a 4.390
_cell_length_b 4.390
_cell_length_c 4.390
_cell_angle_alpha 90.00
_cell_angle_beta 90.00
_cell_angle_gamma 90.00
loop_
_atom_site_label
_atom_site_type_symbol
_atom_site_fract_x
_atom_site_fract_y
_atom_site_fract_z
_atom_site_occupancy
Zn1 Zn 0.000 0.000 0.000 1
S1 S 0.000 0.500 0.500 1
F1 F 0.500 0.500 0.500 1
```

No. 10
VASP calculation (PBE-GGA) on crystalline ZnS5F at its relaxed geometry.

Results
For the uncorrected formation energy, the calculation gives -34.3 kJ per mole of atoms. The density of states at the Fermi level is 3.71 states/eV per cell. As for the total energy: -3.7532 eV/atom.

The structure in CIF format:
```
data_ZnS5F
_symmetry_space_group_name_H-M 'C 1 2 1'
_symmetry_Int_Tables_number 5
_cell_length_a 5.906
_cell_length_b 17.061
_cell_length_c 4.222
_cell_angle_alpha 90.00
_cell_angle_beta 114.80
_cell_angle_gamma 90.00
loop_
_symmetry_equiv_pos_as_xyz
'x,y,z'
'-x,y,-z'
'x+1/2,y+1/2,z'
'-x+1/2,y+1/2,-z'
loop_
_atom_site_label
_atom_site_type_symbol
_atom_site_fract_x
_atom_site_fract_y
_atom_site_fract_z
_atom_site_occupancy
Zn1 Zn 0.000 0.000 0.000 1
S1 S 0.000 0.268 0.000 1
S2 S 0.069 0.484 0.771 1
S3 S 0.139 0.192 0.749 1
F1 F 0.000 0.001 0.500 1
```